## K2VFeF6 (GGA+U)

Data for crystalline K2VFeF6 at its relaxed geometry.

abc: 5.950 5.950 5.950
angles: 120.86 119.71 89.51
Positions (direct):
1 K 0.248 0.248 0.000
2 K 0.752 0.752 0.000
3 V 0.500 0.000 0.500
4 Fe 0.000 0.500 0.500
5 F 0.250 0.255 0.504
6 F 0.250 0.745 0.995
7 F 0.250 0.750 0.500
8 F 0.750 0.250 0.500
9 F 0.750 0.255 0.005
10 F 0.750 0.745 0.496

Calculated values
Calculated volume (Å³ per cell): 148
Density of states at the Fermi level (states/eV/atom): 0.00
Electronic total energy (eV/cell): -53.6